[1]
An optimized crystal structure of PrHo3ErTm. Source: Alexandria, functional PBE.

The structure in CIF format:
```
data_PrHo3ErTm
_symmetry_space_group_name_H-M 'C 1 2/m 1'
_symmetry_Int_Tables_number 12
_cell_length_a 22.301
_cell_length_b 5.361
_cell_length_c 6.765
_cell_angle_alpha 90.00
_cell_angle_beta 98.28
_cell_angle_gamma 90.00
loop_
_symmetry_equiv_pos_as_xyz
'x,y,z'
'-x,-y,-z'
'-x,y,-z'
'x,-y,z'
'x+1/2,y+1/2,z'
'-x+1/2,-y+1/2,-z'
'-x+1/2,y+1/2,-z'
'x+1/2,-y+1/2,z'
loop_
_atom_site_label
_atom_site_fract_x
_atom_site_fract_y
_atom_site_fract_z
Pr1 0.129 0.000 0.479
Ho1 0.024 0.000 0.778
Ho2 0.173 0.500 0.777
Ho3 0.226 0.500 0.314
Er1 0.168 0.000 0.031
Tm1 0.073 0.500 0.144
```

Calculated values
total moment	0.0	μB per formula unit
DOS at the Fermi energy	1.71	states/eV/atom
calculated total energy	-4.384	eV/atom



[2]
An optimized crystal structure of LiAuIO2. Source: Alexandria, functional PBE.

The structure in CIF format:
```
data_LiAuIO2
_symmetry_space_group_name_H-M 'P 4/m m m'
_symmetry_Int_Tables_number 123
_symmetry_space_group_name_Hall '-P 4 2'
_cell_length_a 3.971
_cell_length_b 3.971
_cell_length_c 7.410
_cell_angle_alpha 90.00
_cell_angle_beta 90.00
_cell_angle_gamma 90.00
loop_
_atom_site_label
_atom_site_fract_x
_atom_site_fract_y
_atom_site_fract_z
Li1 0.000 0.000 0.000
Au1 0.500 0.500 0.500
I1 0.500 0.500 0.000
O1 0.000 0.500 0.500
```

Calculated values
total moment	1.5	μB per formula unit
uncorrected formation energy	-1.70	kcal/mol of atoms
DOS at the Fermi energy	0.74	states/eV/atom
calculated total energy	-3.405	eV/atom
ΔE to the lowest computed polymorph	0	meV per atom



> Which value of calculated total energy does entry 2 give?

-3.405 eV/atom



> Which of these has the lowest DOS at the Fermi energy?

LiAuIO2